1.
Computed, not measured: a crystal of InCl3 relaxed with PBEsol at the SCAN level of DFT.

Geometry as CIF:
```
data_InCl3
_chemical_formula_sum 'In2 Cl6'
_cell_length_a 5.0747
_cell_length_b 11.2744
_cell_length_c 3.6498
_cell_angle_alpha 90.00
_cell_angle_beta 90.00
_cell_angle_gamma 90.00
_space_group_name_H-M_alt 'P m m n'
_space_group_IT_number 59
loop_
_space_group_symop_operation_xyz
'x,y,z'
'-x,-y,-z'
'-x+1/2,-y+1/2,z'
'x+1/2,y+1/2,-z'
'x+1/2,-y,-z'
'-x+1/2,y,z'
'-x,y+1/2,-z'
'x,-y+1/2,z'
loop_
_atom_site_label
_atom_site_fract_x
_atom_site_fract_y
_atom_site_fract_z
In1 0.2500 0.2500 0.2475
Cl1 0.2500 0.0961 0.7470
Cl2 0.2500 0.7500 0.7580
```

=====

2.
Computed, not measured: a crystal of InCl3 relaxed with PBEsol at the SCAN level of DFT.

Geometry as CIF:
```
data_InCl3
_chemical_formula_sum 'In2 Cl6'
_cell_length_a 5.0739
_cell_length_b 11.2948
_cell_length_c 3.6505
_cell_angle_alpha 90.00
_cell_angle_beta 90.00
_cell_angle_gamma 90.00
_space_group_name_H-M_alt 'P m m n'
_space_group_IT_number 59
loop_
_space_group_symop_operation_xyz
'x,y,z'
'-x,-y,-z'
'-x+1/2,-y+1/2,z'
'x+1/2,y+1/2,-z'
'x+1/2,-y,-z'
'-x+1/2,y,z'
'-x,y+1/2,-z'
'x,-y+1/2,z'
loop_
_atom_site_label
_atom_site_fract_x
_atom_site_fract_y
_atom_site_fract_z
In1 0.2500 0.2500 0.2423
Cl1 0.2500 0.0965 0.7423
Cl2 0.2500 0.7500 0.7590
```

=====

3.
Computed, not measured: a crystal of InCl relaxed with PBEsol at the SCAN level of DFT.

Geometry as CIF:
```
data_InCl
_chemical_formula_sum 'In6 Cl6'
_cell_length_a 4.9404
_cell_length_b 4.9404
_cell_length_c 16.3566
_cell_angle_alpha 90.00
_cell_angle_beta 90.00
_cell_angle_gamma 120.00
_space_group_name_H-M_alt 'R -3 m'
_space_group_IT_number 166
_space_group_name_Hall '-R 3 2"'
loop_
_atom_site_label
_atom_site_fract_x
_atom_site_fract_y
_atom_site_fract_z
In1 0.0000 0.0000 0.2228
Cl1 0.0000 0.0000 0.3925
```

=====

4.
Computed, not measured: a crystal of InCl2 relaxed with PBEsol at the SCAN level of DFT.

Geometry as CIF:
```
data_InCl2
_chemical_formula_sum 'In8 Cl16'
_cell_length_a 7.5425
_cell_length_b 9.7629
_cell_length_c 9.7716
_cell_angle_alpha 90.00
_cell_angle_beta 90.00
_cell_angle_gamma 90.00
_space_group_name_H-M_alt 'P n n a'
_space_group_IT_number 52
_space_group_name_Hall '-P 2a 2bc'
loop_
_atom_site_label
_atom_site_fract_x
_atom_site_fract_y
_atom_site_fract_z
In1 0.1825 0.2500 0.2500
In2 0.2500 0.0000 0.6834
Cl1 0.0036 0.5471 0.3196
Cl2 0.1558 0.6888 0.9520
```

=====

5.
Computed, not measured: a crystal of InCl2 relaxed with PBEsol at the SCAN level of DFT.

Geometry as CIF:
```
data_InCl2
_chemical_formula_sum 'In2 Cl4'
_cell_length_a 3.4808
_cell_length_b 3.4808
_cell_length_c 11.7548
_cell_angle_alpha 90.00
_cell_angle_beta 90.00
_cell_angle_gamma 90.00
_space_group_name_H-M_alt 'I 4/m m m'
_space_group_IT_number 139
_space_group_name_Hall '-I 4 2'
loop_
_atom_site_label
_atom_site_fract_x
_atom_site_fract_y
_atom_site_fract_z
In1 0.0000 0.0000 0.0000
Cl1 0.0000 0.0000 0.3693
```

=====

6.
Computed, not measured: a crystal of InCl5 relaxed with PBEsol at the SCAN level of DFT.

Geometry as CIF:
```
data_InCl5
_chemical_formula_sum 'In2 Cl10'
_cell_length_a 13.6444
_cell_length_b 3.6291
_cell_length_c 7.4204
_cell_angle_alpha 90.00
_cell_angle_beta 110.51
_cell_angle_gamma 90.00
_space_group_name_H-M_alt 'C 1 m 1'
_space_group_IT_number 8
_space_group_name_Hall 'C -2y'
loop_
_atom_site_label
_atom_site_fract_x
_atom_site_fract_y
_atom_site_fract_z
In1 0.0000 0.0000 0.0000
Cl1 0.1838 0.0000 0.1531
Cl2 0.2381 0.5000 0.5393
Cl3 0.2724 0.5000 0.8244
Cl4 0.4530 0.0000 0.1942
Cl5 0.4809 0.0000 0.7524
```

=====

7.
Computed, not measured: a crystal of InCl relaxed with PBEsol at the SCAN level of DFT.

Geometry as CIF:
```
data_InCl
_chemical_formula_sum 'In2 Cl2'
_cell_length_a 3.8335
_cell_length_b 3.8335
_cell_length_c 9.0675
_cell_angle_alpha 90.00
_cell_angle_beta 90.00
_cell_angle_gamma 120.00
_space_group_name_H-M_alt 'P -3 m 1'
_space_group_IT_number 164
_space_group_name_Hall '-P 3 2"'
loop_
_atom_site_label
_atom_site_fract_x
_atom_site_fract_y
_atom_site_fract_z
In1 0.3333 0.6667 0.1469
Cl1 0.3333 0.6667 0.6708
```

=====

8.
Computed, not measured: a crystal of InCl relaxed with PBEsol at the SCAN level of DFT.

Geometry as CIF:
```
data_InCl
_chemical_formula_sum 'In32 Cl32'
_cell_length_a 11.9937
_cell_length_b 11.9937
_cell_length_c 11.9937
_cell_angle_alpha 90.00
_cell_angle_beta 90.00
_cell_angle_gamma 90.00
_space_group_name_H-M_alt 'P 21 3'
_space_group_IT_number 198
_space_group_name_Hall 'P 2ac 2ab 3'
loop_
_atom_site_label
_atom_site_fract_x
_atom_site_fract_y
_atom_site_fract_z
In1 0.0325 0.2522 0.2137
In2 0.0337 0.2490 0.7162
In3 0.0352 0.9648 0.4648
In4 0.0359 0.4641 0.5359
Cl1 0.0009 0.1986 0.9458
Cl2 0.0087 0.6976 0.0585
Cl3 0.2005 0.7005 0.7995
Cl4 0.2072 0.7928 0.2928
```

=====

Raw formation energy (computed, kJ per mole of atoms): -115.3, -115.3, -81.6, -107.3, -70.0, -73.7, -74.9, -85.4